Version A
Pm3URu3 PBE-GGA relaxed; symmetry = C2/m; calculated volume = 169.30 Å³/f.u.
1.0
-3.2561 3.0819 -5.2167
-5.6550 -2.8309 2.7059
-0.6185 5.8356 4.1680
Pm U Ru
6 2 6
Cartesian
-6.0074 2.3117 -0.0937
-5.5690 1.0609 3.4849
-3.9604 5.0258 -1.8277
-5.0173 -1.2591 0.5999
-3.8937 1.5102 -3.1107
-3.5221 3.7749 1.7509
-7.4246 5.1432 1.5904
-2.1048 0.9435 0.0668
-8.1346 1.0987 -1.6431
-6.4435 5.4908 -0.4783
-7.4077 3.1141 2.7063
-3.0860 0.5959 2.1355
-2.1217 2.9726 -1.0491
-1.3949 4.9880 3.3003

=====

Version B
Pm3URu3 PBE-GGA relaxed; symmetry = Cmcm; calculated volume = 165.70 Å³/f.u.
1.0
-3.6470 -1.1163 -1.6771
2.5183 -4.7083 2.8332
-6.5574 3.6223 11.8483
Pm U Ru
6 2 6
Cartesian
-5.5023 0.9019 11.3647
-2.1838 -3.1042 1.6397
-3.7254 -0.0797 8.1542
-3.9606 -2.1227 4.8502
-4.2243 -2.5415 10.8778
-3.4617 0.3392 2.1266
-1.8235 -0.5582 -0.8385
-5.1022 1.2530 5.0856
-7.2168 -1.8146 11.7259
-0.4692 -0.3877 1.2784
-5.0607 -3.0056 7.8301
-2.6253 0.8033 5.1743
-6.3191 -1.0432 9.2603
-1.3669 -1.1592 3.7441

=====

Stability comparison, relative energies in meV per atom: version A 63; version B 0